A plane-wave DFT calculation with PBE with a Hubbard U was carried out for a relaxed structure of CaMn3B4O12.

Crystal system   trigonal
Raw total energy   -7.5135 eV per atom
V   9.72 A^3/atom
Density of states at the Fermi level   0.1861 states/eV per atom

Cell: 9.5044 9.5044 7.4539 Å, 90.00 90.00 120.00°
Space group R32 (No. 155, hexagonal axes)
Symmetry-distinct sites (fractional):
Ca (0.0000, 0.0000, 0.0000) x3
Mn (0.0000, 0.5561, 0.0000) x9
B (0.0000, 0.0000, 0.5000) x3
B (0.0000, 0.4393, 0.5000) x9
O (0.0000, 0.5874, 0.5000) x9
O (0.0000, 0.8539, 0.5000) x9
O (0.0316, 0.2174, 0.1902) x18